(P)
ErMgHg2: optimized geometry, GGA-PBE.

Structure (CIF):
```
data_ErMgHg2
_space_group_name_H-M_alt 'A m a 2'
_space_group_IT_number 40
_cell_length_a 5.012
_cell_length_b 11.743
_cell_length_c 6.271
_cell_angle_alpha 90.00
_cell_angle_beta 90.00
_cell_angle_gamma 90.00
loop_
_space_group_symop_operation_xyz
'x,y,z'
'-x,-y,z'
'-x+1/2,y,z'
'x+1/2,-y,z'
'x,y+1/2,z+1/2'
'-x,-y+1/2,z+1/2'
'-x+1/2,y+1/2,z+1/2'
'x+1/2,-y+1/2,z+1/2'
loop_
_atom_site_label
_atom_site_fract_x
_atom_site_fract_y
_atom_site_fract_z
Er1 0.250 0.179 0.000
Mg1 0.250 0.429 0.214
Hg1 0.250 0.162 0.508
Hg2 0.250 0.420 0.714
```

Output
- Crystal system: orthorhombic

---

(Q)
ErMgHg2: optimized geometry, GGA-PBE.

Structure (CIF):
```
data_ErMgHg2
_space_group_name_H-M_alt 'C m c m'
_space_group_IT_number 63
_space_group_name_Hall '-C 2c 2'
_cell_length_a 7.100
_cell_length_b 10.435
_cell_length_c 4.910
_cell_angle_alpha 90.00
_cell_angle_beta 90.00
_cell_angle_gamma 90.00
loop_
_atom_site_label
_atom_site_fract_x
_atom_site_fract_y
_atom_site_fract_z
Er1 0.000 0.133 0.250
Mg1 0.000 0.364 0.750
Hg1 0.234 0.386 0.250
```

Output
- Crystal system: orthorhombic

---

Structures ranked by computed energy, the most stable listed first: (Q), (P).

---

(P)
ErHgNO: optimized geometry, GGA-PBE.

Structure (CIF):
```
data_ErHgNO
_space_group_name_H-M_alt 'P 4/n m m'
_space_group_IT_number 129
_cell_length_a 4.986
_cell_length_b 4.986
_cell_length_c 4.567
_cell_angle_alpha 90.00
_cell_angle_beta 90.00
_cell_angle_gamma 90.00
loop_
_space_group_symop_operation_xyz
'x,y,z'
'-x,-y,-z'
'-y+1/2,x,z'
'y+1/2,-x,-z'
'-x+1/2,-y+1/2,z'
'x+1/2,y+1/2,-z'
'y,-x+1/2,z'
'-y,x+1/2,-z'
'x+1/2,-y,-z'
'-x+1/2,y,z'
'-y,-x,-z'
'y,x,z'
'-x,y+1/2,-z'
'x,-y+1/2,z'
'y+1/2,x+1/2,-z'
'-y+1/2,-x+1/2,z'
loop_
_atom_site_label
_atom_site_fract_x
_atom_site_fract_y
_atom_site_fract_z
Er1 0.250 0.750 0.000
Hg1 0.250 0.250 0.495
N1 0.250 0.250 0.996
O1 0.250 0.750 0.500
```

Output
- Crystal system: tetragonal

---

(Q)
ErHgNO: optimized geometry, GGA-PBE.

Structure (CIF):
```
data_ErHgNO
_space_group_name_H-M_alt 'P m c 21'
_space_group_IT_number 26
_cell_length_a 3.787
_cell_length_b 6.313
_cell_length_c 6.137
_cell_angle_alpha 90.00
_cell_angle_beta 90.00
_cell_angle_gamma 90.00
loop_
_space_group_symop_operation_xyz
'x,y,z'
'-x,-y,z+1/2'
'-x,y,z'
'x,-y,z+1/2'
loop_
_atom_site_label
_atom_site_fract_x
_atom_site_fract_y
_atom_site_fract_z
Er1 0.000 0.150 0.000
Hg1 0.500 0.406 0.546
N1 0.500 0.294 0.871
O1 0.000 0.148 0.348
```

Output
- Crystal system: orthorhombic

---

(R)
ErHgNO: optimized geometry, GGA-PBE.

Structure (CIF):
```
data_ErHgNO
_space_group_name_H-M_alt 'P 4/n m m'
_space_group_IT_number 129
_cell_length_a 3.898
_cell_length_b 3.898
_cell_length_c 7.892
_cell_angle_alpha 90.00
_cell_angle_beta 90.00
_cell_angle_gamma 90.00
loop_
_space_group_symop_operation_xyz
'x,y,z'
'-x,-y,-z'
'-y+1/2,x,z'
'y+1/2,-x,-z'
'-x+1/2,-y+1/2,z'
'x+1/2,y+1/2,-z'
'y,-x+1/2,z'
'-y,x+1/2,-z'
'x+1/2,-y,-z'
'-x+1/2,y,z'
'-y,-x,-z'
'y,x,z'
'-x,y+1/2,-z'
'x,-y+1/2,z'
'y+1/2,x+1/2,-z'
'-y+1/2,-x+1/2,z'
loop_
_atom_site_label
_atom_site_fract_x
_atom_site_fract_y
_atom_site_fract_z
Er1 0.250 0.250 0.133
Hg1 0.250 0.750 0.500
N1 0.250 0.250 0.701
O1 0.250 0.750 0.000
```

Output
- Crystal system: tetragonal

---

Structures ranked by computed energy, the most stable listed first: (Q), (P), (R).

---

(P)
NaErHg: optimized geometry, GGA-PBE.

Structure (CIF):
```
data_NaErHg
_space_group_name_H-M_alt 'F -4 3 m'
_space_group_IT_number 216
_space_group_name_Hall 'F -4 2 3'
_cell_length_a 6.924
_cell_length_b 6.924
_cell_length_c 6.924
_cell_angle_alpha 90.00
_cell_angle_beta 90.00
_cell_angle_gamma 90.00
loop_
_atom_site_label
_atom_site_fract_x
_atom_site_fract_y
_atom_site_fract_z
Na1 0.000 0.000 0.000
Er1 0.250 0.250 0.750
Hg1 0.250 0.250 0.250
```

Output
- Crystal system: cubic

---

(Q)
NaErHg: optimized geometry, GGA-PBE.

Structure (CIF):
```
data_NaErHg
_space_group_name_H-M_alt 'F -4 3 m'
_space_group_IT_number 216
_space_group_name_Hall 'F -4 2 3'
_cell_length_a 7.144
_cell_length_b 7.144
_cell_length_c 7.144
_cell_angle_alpha 90.00
_cell_angle_beta 90.00
_cell_angle_gamma 90.00
loop_
_atom_site_label
_atom_site_fract_x
_atom_site_fract_y
_atom_site_fract_z
Na1 0.000 0.000 0.000
Er1 0.250 0.250 0.750
Hg1 0.000 0.000 0.500
```

Output
- Crystal system: cubic

---

Structures ranked by computed energy, the most stable listed first: (Q), (P).

---

(P)
NaErHgTe3: optimized geometry, GGA-PBE.

Structure (CIF):
```
data_NaErHgTe3
_space_group_name_H-M_alt 'P n m a'
_space_group_IT_number 62
_cell_length_a 8.926
_cell_length_b 4.483
_cell_length_c 18.446
_cell_angle_alpha 90.00
_cell_angle_beta 90.00
_cell_angle_gamma 90.00
loop_
_space_group_symop_operation_xyz
'x,y,z'
'-x,-y,-z'
'-x+1/2,-y,z+1/2'
'x+1/2,y,-z+1/2'
'x+1/2,-y+1/2,-z+1/2'
'-x+1/2,y+1/2,z+1/2'
'-x,y+1/2,-z'
'x,-y+1/2,z'
loop_
_atom_site_label
_atom_site_fract_x
_atom_site_fract_y
_atom_site_fract_z
Na1 0.095 0.250 0.194
Er1 0.221 0.250 0.963
Hg1 0.034 0.250 0.669
Te1 0.009 0.250 0.428
Te2 0.124 0.750 0.063
Te3 0.208 0.250 0.794
```

Output
- Crystal system: orthorhombic

---

(Q)
NaErHgTe3: optimized geometry, GGA-PBE.

Structure (CIF):
```
data_NaErHgTe3
_space_group_name_H-M_alt 'P n m a'
_space_group_IT_number 62
_cell_length_a 14.764
_cell_length_b 4.391
_cell_length_c 11.925
_cell_angle_alpha 90.00
_cell_angle_beta 90.00
_cell_angle_gamma 90.00
loop_
_space_group_symop_operation_xyz
'x,y,z'
'-x,-y,-z'
'-x+1/2,-y,z+1/2'
'x+1/2,y,-z+1/2'
'x+1/2,-y+1/2,-z+1/2'
'-x+1/2,y+1/2,z+1/2'
'-x,y+1/2,-z'
'x,-y+1/2,z'
loop_
_atom_site_label
_atom_site_fract_x
_atom_site_fract_y
_atom_site_fract_z
Na1 0.230 0.250 0.075
Er1 0.014 0.250 0.344
Hg1 0.011 0.750 0.101
Te1 0.111 0.250 0.568
Te2 0.115 0.750 0.876
Te3 0.149 0.750 0.264
```

Output
- Crystal system: orthorhombic

---

Structures ranked by computed energy, the most stable listed first: (Q), (P).

---

(P)
NaErHgTe3: optimized geometry, GGA-PBE.

Structure (CIF):
```
data_NaErHgTe3
_space_group_name_H-M_alt 'C 1 2/m 1'
_space_group_IT_number 12
_cell_length_a 20.306
_cell_length_b 4.298
_cell_length_c 9.182
_cell_angle_alpha 90.00
_cell_angle_beta 102.44
_cell_angle_gamma 90.00
loop_
_space_group_symop_operation_xyz
'x,y,z'
'-x,-y,-z'
'-x,y,-z'
'x,-y,z'
'x+1/2,y+1/2,z'
'-x+1/2,-y+1/2,-z'
'-x+1/2,y+1/2,-z'
'x+1/2,-y+1/2,z'
loop_
_atom_site_label
_atom_site_fract_x
_atom_site_fract_y
_atom_site_fract_z
Na1 0.125 0.000 0.079
Er1 0.178 0.000 0.589
Hg1 0.043 0.500 0.725
Te1 0.000 0.000 0.500
Te2 0.000 0.500 0.000
Te3 0.171 0.500 0.354
Te4 0.185 0.500 0.830
```

Output
- Crystal system: monoclinic

---

(Q)
NaErHgTe3: optimized geometry, GGA-PBE.

Structure (CIF):
```
data_NaErHgTe3
_space_group_name_H-M_alt 'P n m a'
_space_group_IT_number 62
_cell_length_a 11.669
_cell_length_b 4.372
_cell_length_c 14.938
_cell_angle_alpha 90.00
_cell_angle_beta 90.00
_cell_angle_gamma 90.00
loop_
_space_group_symop_operation_xyz
'x,y,z'
'-x,-y,-z'
'-x+1/2,-y,z+1/2'
'x+1/2,y,-z+1/2'
'x+1/2,-y+1/2,-z+1/2'
'-x+1/2,y+1/2,z+1/2'
'-x,y+1/2,-z'
'x,-y+1/2,z'
loop_
_atom_site_label
_atom_site_fract_x
_atom_site_fract_y
_atom_site_fract_z
Na1 0.228 0.250 0.022
Er1 0.013 0.750 0.745
Hg1 0.240 0.750 0.217
Te1 0.037 0.750 0.114
Te2 0.067 0.250 0.605
Te3 0.236 0.250 0.343
```

Output
- Crystal system: orthorhombic

---

Structures ranked by computed energy, the most stable listed first: (Q), (P).

---

(P)
Er2Hg2O5: optimized geometry, GGA-PBE.

Structure (CIF):
```
data_Er2Hg2O5
_space_group_name_H-M_alt 'P 4/m m m'
_space_group_IT_number 123
_space_group_name_Hall '-P 4 2'
_cell_length_a 4.278
_cell_length_b 4.278
_cell_length_c 7.137
_cell_angle_alpha 90.00
_cell_angle_beta 90.00
_cell_angle_gamma 90.00
loop_
_atom_site_label
_atom_site_fract_x
_atom_site_fract_y
_atom_site_fract_z
Er1 0.000 0.000 0.000
Er2 0.000 0.000 0.500
Hg1 0.500 0.500 0.193
O1 0.000 0.500 0.209
O2 0.500 0.500 0.500
```

Output
- Crystal system: tetragonal

---

(Q)
Er2Hg2O5: optimized geometry, GGA-PBE.

Structure (CIF):
```
data_Er2Hg2O5
_space_group_name_H-M_alt 'P 4/m m m'
_space_group_IT_number 123
_space_group_name_Hall '-P 4 2'
_cell_length_a 4.077
_cell_length_b 4.077
_cell_length_c 8.697
_cell_angle_alpha 90.00
_cell_angle_beta 90.00
_cell_angle_gamma 90.00
loop_
_atom_site_label
_atom_site_fract_x
_atom_site_fract_y
_atom_site_fract_z
Er1 0.000 0.000 0.248
Hg1 0.500 0.500 0.000
Hg2 0.500 0.500 0.500
O1 0.000 0.000 0.000
O2 0.000 0.500 0.333
```

Output
- Crystal system: tetragonal

---

Structures ranked by computed energy, the most stable listed first: (Q), (P).

---

(P)
ErHgPO: optimized geometry, GGA-PBE.

Structure (CIF):
```
data_ErHgPO
_space_group_name_H-M_alt 'P 4/n m m'
_space_group_IT_number 129
_cell_length_a 5.718
_cell_length_b 5.718
_cell_length_c 4.673
_cell_angle_alpha 90.00
_cell_angle_beta 90.00
_cell_angle_gamma 90.00
loop_
_space_group_symop_operation_xyz
'x,y,z'
'-x,-y,-z'
'-y+1/2,x,z'
'y+1/2,-x,-z'
'-x+1/2,-y+1/2,z'
'x+1/2,y+1/2,-z'
'y,-x+1/2,z'
'-y,x+1/2,-z'
'x+1/2,-y,-z'
'-x+1/2,y,z'
'-y,-x,-z'
'y,x,z'
'-x,y+1/2,-z'
'x,-y+1/2,z'
'y+1/2,x+1/2,-z'
'-y+1/2,-x+1/2,z'
loop_
_atom_site_label
_atom_site_fract_x
_atom_site_fract_y
_atom_site_fract_z
Er1 0.250 0.750 0.000
Hg1 0.250 0.250 0.497
P1 0.250 0.250 0.997
O1 0.250 0.750 0.500
```

Output
- Crystal system: tetragonal

---

(Q)
ErHgPO: optimized geometry, GGA-PBE.

Structure (CIF):
```
data_ErHgPO
_space_group_name_H-M_alt 'P m c 21'
_space_group_IT_number 26
_cell_length_a 4.208
_cell_length_b 6.817
_cell_length_c 5.899
_cell_angle_alpha 90.00
_cell_angle_beta 90.00
_cell_angle_gamma 90.00
loop_
_space_group_symop_operation_xyz
'x,y,z'
'-x,-y,z+1/2'
'-x,y,z'
'x,-y,z+1/2'
loop_
_atom_site_label
_atom_site_fract_x
_atom_site_fract_y
_atom_site_fract_z
Er1 0.000 0.205 0.000
Hg1 0.500 0.371 0.526
P1 0.000 0.198 0.497
O1 0.500 0.284 0.004
```

Output
- Crystal system: orthorhombic

---

Structures ranked by computed energy, the most stable listed first: (Q), (P).

---

(P)
ErHgPO: optimized geometry, GGA-PBE.

Structure (CIF):
```
data_ErHgPO
_space_group_name_H-M_alt 'P m c 21'
_space_group_IT_number 26
_cell_length_a 4.078
_cell_length_b 6.098
_cell_length_c 6.599
_cell_angle_alpha 90.00
_cell_angle_beta 90.00
_cell_angle_gamma 90.00
loop_
_space_group_symop_operation_xyz
'x,y,z'
'-x,-y,z+1/2'
'-x,y,z'
'x,-y,z+1/2'
loop_
_atom_site_label
_atom_site_fract_x
_atom_site_fract_y
_atom_site_fract_z
Er1 0.000 0.033 0.000
Hg1 0.500 0.434 0.416
P1 0.500 0.208 0.739
O1 0.000 0.221 0.274
```

Output
- Crystal system: orthorhombic

---

(Q)
ErHgPO: optimized geometry, GGA-PBE.

Structure (CIF):
```
data_ErHgPO
_space_group_name_H-M_alt 'P 4/n m m'
_space_group_IT_number 129
_cell_length_a 4.049
_cell_length_b 4.049
_cell_length_c 8.889
_cell_angle_alpha 90.00
_cell_angle_beta 90.00
_cell_angle_gamma 90.00
loop_
_space_group_symop_operation_xyz
'x,y,z'
'-x,-y,-z'
'-y+1/2,x,z'
'y+1/2,-x,-z'
'-x+1/2,-y+1/2,z'
'x+1/2,y+1/2,-z'
'y,-x+1/2,z'
'-y,x+1/2,-z'
'x+1/2,-y,-z'
'-x+1/2,y,z'
'-y,-x,-z'
'y,x,z'
'-x,y+1/2,-z'
'x,-y+1/2,z'
'y+1/2,x+1/2,-z'
'-y+1/2,-x+1/2,z'
loop_
_atom_site_label
_atom_site_fract_x
_atom_site_fract_y
_atom_site_fract_z
Er1 0.250 0.250 0.114
Hg1 0.250 0.750 0.500
P1 0.250 0.250 0.708
O1 0.250 0.750 0.000
```

Output
- Crystal system: tetragonal

---

Structures ranked by computed energy, the most stable listed first: (Q), (P).

---

(P)
ErHgSeO: optimized geometry, GGA-PBE.

Structure (CIF):
```
data_ErHgSeO
_space_group_name_H-M_alt 'P 1 21 1'
_space_group_IT_number 4
_cell_length_a 5.644
_cell_length_b 5.641
_cell_length_c 13.033
_cell_angle_alpha 90.00
_cell_angle_beta 91.86
_cell_angle_gamma 90.00
loop_
_space_group_symop_operation_xyz
'x,y,z'
'-x,y+1/2,-z'
loop_
_atom_site_label
_atom_site_fract_x
_atom_site_fract_y
_atom_site_fract_z
Er1 0.003 0.000 0.078
Er2 0.495 0.002 0.920
Hg1 0.129 0.274 0.496
Hg2 0.498 0.020 0.263
Se1 0.186 0.332 0.240
Se2 0.194 0.208 0.754
O1 0.250 0.750 0.000
O2 0.254 0.248 0.000
```

Output
- Crystal system: monoclinic

---

(Q)
ErHgSeO: optimized geometry, GGA-PBE.

Structure (CIF):
```
data_ErHgSeO
_space_group_name_H-M_alt 'P 4/n m m'
_space_group_IT_number 129
_cell_length_a 3.986
_cell_length_b 3.986
_cell_length_c 10.103
_cell_angle_alpha 90.00
_cell_angle_beta 90.00
_cell_angle_gamma 90.00
loop_
_space_group_symop_operation_xyz
'x,y,z'
'-x,-y,-z'
'-y+1/2,x,z'
'y+1/2,-x,-z'
'-x+1/2,-y+1/2,z'
'x+1/2,y+1/2,-z'
'y,-x+1/2,z'
'-y,x+1/2,-z'
'x+1/2,-y,-z'
'-x+1/2,y,z'
'-y,-x,-z'
'y,x,z'
'-x,y+1/2,-z'
'x,-y+1/2,z'
'y+1/2,x+1/2,-z'
'-y+1/2,-x+1/2,z'
loop_
_atom_site_label
_atom_site_fract_x
_atom_site_fract_y
_atom_site_fract_z
Er1 0.250 0.250 0.103
Hg1 0.250 0.750 0.500
Se1 0.250 0.250 0.742
O1 0.250 0.750 0.000
```

Output
- Crystal system: tetragonal

---

(R)
ErHgSeO: optimized geometry, GGA-PBE.

Structure (CIF):
```
data_ErHgSeO
_space_group_name_H-M_alt 'P m c 21'
_space_group_IT_number 26
_cell_length_a 4.673
_cell_length_b 8.902
_cell_length_c 5.492
_cell_angle_alpha 90.00
_cell_angle_beta 90.00
_cell_angle_gamma 90.00
loop_
_space_group_symop_operation_xyz
'x,y,z'
'-x,-y,z+1/2'
'-x,y,z'
'x,-y,z+1/2'
loop_
_atom_site_label
_atom_site_fract_x
_atom_site_fract_y
_atom_site_fract_z
Er1 0.000 0.134 0.000
Hg1 0.500 0.304 0.583
Se1 0.500 0.306 0.088
O1 0.000 0.079 0.640
```

Output
- Crystal system: orthorhombic

---

(S)
ErHgSeO: optimized geometry, GGA-PBE.

Structure (CIF):
```
data_ErHgSeO
_space_group_name_H-M_alt 'P 1 21/c 1'
_space_group_IT_number 14
_cell_length_a 7.522
_cell_length_b 7.015
_cell_length_c 6.749
_cell_angle_alpha 90.00
_cell_angle_beta 90.72
_cell_angle_gamma 90.00
loop_
_space_group_symop_operation_xyz
'x,y,z'
'-x,-y,-z'
'-x,y+1/2,-z+1/2'
'x,-y+1/2,z+1/2'
loop_
_atom_site_label
_atom_site_fract_x
_atom_site_fract_y
_atom_site_fract_z
Er1 0.056 0.139 0.193
Hg1 0.500 0.194 0.000
Se1 0.263 0.021 0.556
O1 0.047 0.658 0.604
```

Output
- Crystal system: monoclinic

---

Structures ranked by computed energy, the most stable listed first: (P), (S), (Q), (R).